{
  "formula": "ReW",
  "functional": "PBE",
  "state": "relaxed",
  "e_form_mev_per_atom": 447,
  "relative_energy_mev_per_atom": 346,
  "sg": "P6_3/mmc",
  "cell": [[5.169, 0.000, 0.000], [-2.584, 4.476, 0.000], [0.000, 0.000, 8.370]],
  "species": ["Re", "Re", "Re", "Re", "Re", "Re", "W", "W", "W", "W", "W", "W"],
  "frac_coords": [[0.000, 0.000, 0.000], [0.000, 0.000, 0.500], [0.333, 0.667, 0.060], [0.333, 0.667, 0.440], [0.667, 0.333, 0.560], [0.667, 0.333, 0.940], [0.170, 0.340, 0.750], [0.170, 0.830, 0.750], [0.340, 0.170, 0.250], [0.660, 0.830, 0.750], [0.830, 0.170, 0.250], [0.830, 0.660, 0.250]]
}

---

{
  "formula": "Gd2DyAl2Cd4",
  "functional": "PBE",
  "state": "relaxed",
  "sg": "Amm2",
  "cell": [[4.546, 0.000, 0.000], [0.000, 6.360, 3.684], [0.000, -6.360, 3.684]],
  "species": ["Gd", "Gd", "Dy", "Al", "Al", "Cd", "Cd", "Cd", "Cd"],
  "frac_coords": [[0.000, 0.214, 0.786], [0.000, 0.786, 0.214], [0.000, 0.358, 0.358], [0.500, 0.120, 0.452], [0.500, 0.452, 0.120], [0.000, 0.784, 0.784], [0.500, 0.038, 0.038], [0.500, 0.533, 0.786], [0.500, 0.786, 0.533]]
}

---

{
  "formula": "TbScAsO",
  "functional": "PBE",
  "state": "relaxed",
  "relative_energy_mev_per_atom": 459,
  "sg": "P4/nmm",
  "cell": [[4.300, 0.000, 0.000], [0.000, 4.300, 0.000], [0.000, 0.000, 8.382]],
  "species": ["Tb", "Tb", "Sc", "Sc", "As", "As", "O", "O"],
  "frac_coords": [[0.250, 0.750, 0.000], [0.750, 0.250, 0.000], [0.250, 0.250, 0.432], [0.750, 0.750, 0.568], [0.250, 0.250, 0.782], [0.750, 0.750, 0.218], [0.250, 0.750, 0.500], [0.750, 0.250, 0.500]]
}

---

Computed calculated volume, in the same sequence as the records: 16.14; 23.67; 19.37 Å³/atom.
Computed density, in the same sequence as the records: 19037; 7645; 6318 kg/m³.
Computed E, in the same sequence as the records: -12.244; -3.167; -6.752 eV/atom.